{"formula": "Tb4PSe3", "functional": "PBE", "state": "optimized geometry", "final_energy_ev_per_atom": -6.08, "raw_formation_energy_ev_per_atom": -1.78, "magnetic_moment_mub_per_fu": 0.00, "lattice": [[5.760, 0.000, 0.000], [0.000, 5.760, 0.000], [0.000, 0.000, 5.760]], "species": ["Tb", "Tb", "Tb", "Tb", "P", "Se", "Se", "Se"], "fractional_positions": [[0.000, 0.000, 0.000], [0.000, 0.500, 0.500], [0.500, 0.000, 0.500], [0.500, 0.500, 0.000], [0.500, 0.500, 0.500], [0.000, 0.000, 0.500], [0.000, 0.500, 0.000], [0.500, 0.000, 0.000]]}